No. 1
Density functional theory data (GGA-PBE) for a relaxed structure of CsZr2As2.

## Properties
DFT formation energy, kJ/mol of atoms: -69.1
Calculated volume, Å³/cell: 326.5
Magnetic moment, μB/cell: 0.0
Calculated total energy, eV per cell: -61.66
Calculated density, g cm⁻³: 4.73

```
data_CsZr2As2
_chemical_formula_sum 'Cs2 Zr4 As4'
_cell_length_a 4.608
_cell_length_b 4.608
_cell_length_c 15.380
_cell_angle_alpha 90.00
_cell_angle_beta 90.00
_cell_angle_gamma 90.00
_symmetry_space_group_name_H-M 'I 4/m m m'
_symmetry_Int_Tables_number 139
_symmetry_space_group_name_Hall '-I 4 2'
loop_
_atom_site_label
_atom_site_type_symbol
_atom_site_fract_x
_atom_site_fract_y
_atom_site_fract_z
Cs1 Cs 0.000 0.000 0.000
Zr1 Zr 0.000 0.500 0.250
As1 As 0.000 0.000 0.342
```

=====

No. 2
Density functional theory data (GGA-PBE) for a relaxed structure of In2CoSe.

## Properties
Calculated volume, Å³/cell: 78.1
Magnetic moment, μB/cell: 0.7
Formation energy (no corrections), meV/atom: 200
Calculated total energy, eV per cell: -15.27
Calculated density, g cm⁻³: 7.82

```
data_In2CoSe
_chemical_formula_sum 'In2 Co1 Se1'
_cell_length_a 3.103
_cell_length_b 3.103
_cell_length_c 8.107
_cell_angle_alpha 90.00
_cell_angle_beta 90.00
_cell_angle_gamma 90.00
_symmetry_space_group_name_H-M 'P 4/m m m'
_symmetry_Int_Tables_number 123
_symmetry_space_group_name_Hall '-P 4 2'
loop_
_atom_site_label
_atom_site_type_symbol
_atom_site_fract_x
_atom_site_fract_y
_atom_site_fract_z
In1 In 0.000 0.000 0.198
Co1 Co 0.500 0.500 0.000
Se1 Se 0.500 0.500 0.500
```

=====

No. 3
Density functional theory data (GGA-PBE) for a relaxed structure of Cs2KCu3F12.

## Properties
Calculated volume, Å³/cell: 898.9
Magnetic moment, μB/cell: 0.0
Formation energy (no corrections), meV/atom: -1939
Calculated total energy, eV per cell: -217.35
Calculated density, g cm⁻³: 4.01

```
data_Cs2KCu3F12
_chemical_formula_sum 'Cs6 K3 Cu9 F36'
_cell_length_a 7.5456
_cell_length_b 7.5456
_cell_length_c 18.2309
_cell_angle_alpha 90.00
_cell_angle_beta 90.00
_cell_angle_gamma 120.00
_symmetry_space_group_name_H-M 'R -3 m'
_symmetry_Int_Tables_number 166
_symmetry_space_group_name_Hall '-R 3 2"'
loop_
_atom_site_label
_atom_site_type_symbol
_atom_site_fract_x
_atom_site_fract_y
_atom_site_fract_z
Cs1 Cs 0.0000 0.0000 0.1130
K1 K 0.0000 0.0000 0.5000
Cu1 Cu 0.0000 0.5000 0.0000
F1 F 0.0271 0.5135 0.9003
F2 F 0.0830 0.5415 0.3245
```

=====

No. 4
Density functional theory data (GGA-PBE) for a relaxed structure of Dy4CuAg.

## Properties
DFT formation energy, kJ/mol of atoms: -14.1
Calculated volume, Å³/cell: 154.7
Magnetic moment, μB/cell: 1.3
Calculated total energy, eV per cell: -26.23
Calculated density, g cm⁻³: 8.82
Relative energy among the computed polymorphs, meV/atom: 0

```
data_Dy4CuAg
_chemical_formula_sum 'Dy4 Cu1 Ag1'
_cell_length_a 3.525
_cell_length_b 3.525
_cell_length_c 12.447
_cell_angle_alpha 90.00
_cell_angle_beta 90.00
_cell_angle_gamma 90.00
_symmetry_space_group_name_H-M 'P 4/m m m'
_symmetry_Int_Tables_number 123
_symmetry_space_group_name_Hall '-P 4 2'
loop_
_atom_site_label
_atom_site_type_symbol
_atom_site_fract_x
_atom_site_fract_y
_atom_site_fract_z
Dy1 Dy 0.000 0.000 0.137
Dy2 Dy 0.500 0.500 0.346
Cu1 Cu 0.500 0.500 0.000
Ag1 Ag 0.000 0.000 0.500
```

=====

No. 5
Density functional theory data (GGA-PBE) for a relaxed structure of DyTaNi2.

## Properties
DFT formation energy, kJ/mol of atoms: -23.8
Calculated volume, Å³/cell: 219.6
Magnetic moment, μB/cell: 0.0
Calculated total energy, eV per cell: -87.01
Calculated density, g cm⁻³: 10.45
Relative energy among the computed polymorphs, meV/atom: 0

```
data_DyTaNi2
_chemical_formula_sum 'Dy3 Ta3 Ni6'
_cell_length_a 4.2495
_cell_length_b 4.2495
_cell_length_c 14.0418
_cell_angle_alpha 90.00
_cell_angle_beta 90.00
_cell_angle_gamma 120.00
_symmetry_space_group_name_H-M 'R -3 m'
_symmetry_Int_Tables_number 166
_symmetry_space_group_name_Hall '-R 3 2"'
loop_
_atom_site_label
_atom_site_type_symbol
_atom_site_fract_x
_atom_site_fract_y
_atom_site_fract_z
Dy1 Dy 0.0000 0.0000 0.0000
Ta1 Ta 0.0000 0.0000 0.5000
Ni1 Ni 0.0000 0.0000 0.2027
```

=====

No. 6
Density functional theory data (GGA-PBE) for a relaxed structure of KBaOsPd2.

## Properties
DFT formation energy, kJ/mol of atoms: 181.9
Calculated volume, Å³/cell: 176.9
Magnetic moment, μB/cell: 2.9
Calculated total energy, eV per cell: -15.21
Calculated density, g cm⁻³: 5.44

```
data_KBaOsPd2
_chemical_formula_sum 'K1 Ba1 Os1 Pd2'
_cell_length_a 5.358
_cell_length_b 5.358
_cell_length_c 6.163
_cell_angle_alpha 90.00
_cell_angle_beta 90.00
_cell_angle_gamma 90.00
_symmetry_space_group_name_H-M 'P 4/m m m'
_symmetry_Int_Tables_number 123
_symmetry_space_group_name_Hall '-P 4 2'
loop_
_atom_site_label
_atom_site_type_symbol
_atom_site_fract_x
_atom_site_fract_y
_atom_site_fract_z
K1 K 0.000 0.000 0.000
Ba1 Ba 0.000 0.000 0.500
Os1 Os 0.500 0.500 0.000
Pd1 Pd 0.000 0.500 0.500
```

=====

No. 7
Density functional theory data (GGA-PBE) for a relaxed structure of TbPm3Tm6.

## Properties
DFT formation energy, kJ/mol of atoms: 24.1
Calculated volume, Å³/cell: 332.1
Magnetic moment, μB/cell: 0.0
Calculated total energy, eV per cell: -43.22
Calculated density, g cm⁻³: 8.04
Relative energy among the computed polymorphs, meV/atom: 99

```
data_TbPm3Tm6
_chemical_formula_sum 'Tb1 Pm3 Tm6'
_cell_length_a 6.009
_cell_length_b 6.241
_cell_length_c 8.945
_cell_angle_alpha 91.80
_cell_angle_beta 93.45
_cell_angle_gamma 97.01
_symmetry_space_group_name_H-M 'P -1'
_symmetry_Int_Tables_number 2
_symmetry_space_group_name_Hall '-P 1'
loop_
_atom_site_label
_atom_site_type_symbol
_atom_site_fract_x
_atom_site_fract_y
_atom_site_fract_z
Tb1 Tb 0.000 0.000 0.000
Pm1 Pm 0.162 0.316 0.748
Pm2 Pm 0.500 0.500 0.500
Tm1 Tm 0.046 0.776 0.607
Tm2 Tm 0.279 0.501 0.117
Tm3 Tm 0.414 0.001 0.298
```

=====

No. 8
Density functional theory data (GGA-PBE) for a relaxed structure of SrMgMn.

## Properties
DFT formation energy, kJ/mol of atoms: 33.7
Calculated volume, Å³/cell: 163.5
Magnetic moment, μB/cell: 7.5
Calculated total energy, eV per cell: -22.80
Calculated density, g cm⁻³: 3.39
Relative energy among the computed polymorphs, meV/atom: 0

```
data_SrMgMn
_chemical_formula_sum 'Sr2 Mg2 Mn2'
_cell_length_a 3.680
_cell_length_b 3.680
_cell_length_c 12.075
_cell_angle_alpha 90.00
_cell_angle_beta 90.00
_cell_angle_gamma 90.00
_symmetry_space_group_name_H-M 'I 4 m m'
_symmetry_Int_Tables_number 107
_symmetry_space_group_name_Hall 'I 4 -2'
loop_
_atom_site_label
_atom_site_type_symbol
_atom_site_fract_x
_atom_site_fract_y
_atom_site_fract_z
Sr1 Sr 0.000 0.000 0.000
Mg1 Mg 0.000 0.000 0.711
Mn1 Mn 0.000 0.000 0.311
```

=====

No. 9
Density functional theory data (GGA-PBE) for a relaxed structure of La5Nd3Ho.

## Properties
DFT formation energy, kJ/mol of atoms: 25.2
Calculated volume, Å³/cell: 1298.6
Magnetic moment, μB/cell: 0.0
Calculated total energy, eV per cell: -164.66
Calculated density, g cm⁻³: 6.61

```
data_La5Nd3Ho
_chemical_formula_sum 'La20 Nd12 Ho4'
_cell_length_a 9.116
_cell_length_b 9.116
_cell_length_c 15.625
_cell_angle_alpha 90.00
_cell_angle_beta 90.00
_cell_angle_gamma 90.00
_symmetry_space_group_name_H-M 'I 4/m c m'
_symmetry_Int_Tables_number 140
_symmetry_space_group_name_Hall '-I 4 2c'
loop_
_atom_site_label
_atom_site_type_symbol
_atom_site_fract_x
_atom_site_fract_y
_atom_site_fract_z
La1 La 0.000 0.000 0.000
La2 La 0.209 0.291 0.140
Nd1 Nd 0.000 0.000 0.250
Nd2 Nd 0.115 0.385 0.500
Ho1 Ho 0.000 0.500 0.250
```

=====

No. 10
Density functional theory data (GGA-PBE) for a relaxed structure of RbMo2As2.

## Properties
DFT formation energy, kJ/mol of atoms: -9.8
Calculated volume, Å³/cell: 118.4
Magnetic moment, μB/cell: 0.0
Calculated total energy, eV per cell: -32.43
Calculated density, g cm⁻³: 5.99
Relative energy among the computed polymorphs, meV/atom: 187

```
data_RbMo2As2
_chemical_formula_sum 'Rb1 Mo2 As2'
_cell_length_a 3.816
_cell_length_b 3.816
_cell_length_c 8.131
_cell_angle_alpha 90.00
_cell_angle_beta 90.00
_cell_angle_gamma 90.00
_symmetry_space_group_name_H-M 'P 4/m m m'
_symmetry_Int_Tables_number 123
_symmetry_space_group_name_Hall '-P 4 2'
loop_
_atom_site_label
_atom_site_type_symbol
_atom_site_fract_x
_atom_site_fract_y
_atom_site_fract_z
Rb1 Rb 0.000 0.000 0.000
Mo1 Mo 0.000 0.500 0.500
As1 As 0.500 0.500 0.274
```